Here is Pr2Sm3YSe6 after structural relaxation from Alexandria via LeMat-Bulk. Energies are from PBE.

Calculated values
* space group: C2/m
* N(E_F): 5.80 states/eV/f.u.
* electronic total energy: -6.073 eV/atom

a b c (Å): 4.172 8.429 9.351
angles (deg): 102.74 102.89 90.00
Fractional coordinates of all 12 atoms:
1 Sm 0.170 0.833 0.341
2 Se 0.337 0.924 0.674
3 Se 0.997 0.243 0.994
4 Pr 0.168 0.336 0.336
5 Se 0.336 0.412 0.672
6 Se 0.664 0.588 0.328
7 Se 0.003 0.757 0.006
8 Sm 0.500 0.500 0.000
9 Pr 0.832 0.664 0.664
10 Sm 0.830 0.167 0.659
11 Se 0.663 0.076 0.326
12 Y 0.500 0.000 0.000

***

Here is TaVB after structural relaxation from Alexandria via LeMat-Bulk. Energies are from PBE.

Calculated values
* ΔH_f (0 K): -1.74 eV per formula unit
* space group: Pnma
* N(E_F): 2.01 states/eV/f.u.
* offset from the most stable computed form: 0.00 kJ per mole of atoms

a b c (Å): 3.207 6.086 7.452
angles (deg): 90.00 90.00 90.00
Fractional coordinates of all 12 atoms:
1 V 0.750 0.635 0.444
2 Ta 0.750 0.538 0.830
3 Ta 0.250 0.962 0.330
4 V 0.250 0.365 0.556
5 B 0.250 0.741 0.641
6 V 0.750 0.135 0.056
7 B 0.750 0.759 0.141
8 V 0.250 0.865 0.944
9 B 0.750 0.259 0.359
10 B 0.250 0.241 0.859
11 Ta 0.250 0.462 0.170
12 Ta 0.750 0.038 0.670

***

Number 1: total moment 0.00 μB per atom. Number 2: total moment 0.00 μB per atom.